KLaS2 after structural relaxation, computed with PBEsol.

Unit cell a=5.0334 b=5.0334 c=5.0334 alpha=60.00 beta=60.00 gamma=60.00
With the nearest neighbours (Å) after each atom.
Fractional positions:
S (0.2500, 0.2500, 0.2500)  4 K 3.08, 4 La 3.08
S (0.7500, 0.7500, 0.7500)  4 K 3.08, 4 La 3.08
La (0.5000, 0.5000, 0.5000)  8 S 3.08
K (0.0000, 0.0000, 0.0000)  8 S 3.08

Formation energy from raw total energies ... -1.66 eV per atom
N(E_F) ... 0.00 states/eV/cell
Total DFT energy (no corrections) ... -21.89 eV/f.u.

KLaSb after structural relaxation, computed with PBEsol.

Unit cell a=5.4164 b=5.4164 c=5.4164 alpha=60.00 beta=60.00 gamma=60.00
With the nearest neighbours (Å) after each atom.
Fractional positions:
Sb (0.2500, 0.2500, 0.2500)  4 La 3.32, 4 K 3.32
K (0.0000, 0.0000, 0.0000)  4 Sb 3.32
La (0.5000, 0.5000, 0.5000)  4 Sb 3.32

Formation energy from raw total energies ... -0.44 eV per atom
N(E_F) ... 1.98 states/eV/cell
Total DFT energy (no corrections) ... -12.36 eV/f.u.

KLa2Sb after structural relaxation, computed with PBEsol.

Unit cell a=4.7631 b=5.1262 c=5.1262 alpha=90.00 beta=90.00 gamma=90.00
With the nearest neighbours (Å) after each atom.
Fractional positions:
Sb (0.5000, 0.5000, 0.5000)  8 La 3.50, 4 K 3.62
K (0.5000, 0.0000, 0.0000)  8 La 3.50, 4 Sb 3.62
La (0.0000, 0.5000, 0.0000)  4 K 3.50, 4 Sb 3.50, 4 La 3.62
La (0.0000, 0.0000, 0.5000)  4 K 3.50, 4 Sb 3.50, 4 La 3.62

Formation energy from raw total energies ... -0.30 eV per atom
N(E_F) ... 3.70 states/eV/cell
Total DFT energy (no corrections) ... -17.59 eV/f.u.

KLaSc2 after structural relaxation, computed with PBEsol.

Unit cell a=4.9071 b=4.9071 c=6.2518 alpha=113.11 beta=113.11 gamma=90.00
With the nearest neighbours (Å) after each atom.
Fractional positions:
Sc (0.2500, 0.7500, 0.5000)  4 Sc 3.47, 4 La 3.58, 4 K 3.58
Sc (0.7500, 0.2500, 0.5000)  4 Sc 3.47, 4 La 3.58, 4 K 3.58
K (0.5000, 0.5000, 0.0000)  4 La 3.47, 8 Sc 3.58
La (0.0000, 0.0000, 0.0000)  4 K 3.47, 8 Sc 3.58

N(E_F) ... 8.32 states/eV/cell
Energy of formation ... 648 meV per atom
Excess energy over the best structure of this formula in the dataset ... 359 meV/atom
Total DFT energy (no corrections) ... -17.10 eV/f.u.

KLaSc2 after structural relaxation, computed with PBEsol.

Unit cell a=3.4479 b=3.4479 c=12.5173 alpha=82.08 beta=82.08 gamma=60.00
With the nearest neighbours (Å) after each atom.
Fractional positions:
K (0.5035, 0.5035, 0.4895)  6 K 3.45
La (0.7361, 0.7361, 0.7918)  3 Sc 3.36, 6 La 3.45
Sc (0.2639, 0.2639, 0.2083)  9 Sc 3.15-3.45
Sc (0.9965, 0.9965, 0.0104)  9 Sc 3.15-3.45, 3 La 3.36

N(E_F) ... 6.05 states/eV/cell
Energy of formation ... 289 meV per atom
Excess energy over the best structure of this formula in the dataset ... 0 meV/atom
Total DFT energy (no corrections) ... -18.53 eV/f.u.

KLaSc after structural relaxation, computed with PBEsol.

Unit cell a=3.5188 b=3.5188 c=9.2284 alpha=100.99 beta=100.99 gamma=90.00
With the nearest neighbours (Å) after each atom.
Fractional positions:
K (0.9944, 0.9944, 0.9888)  4 K 3.52
Sc (0.3155, 0.3155, 0.6310)  4 La 3.34, 4 Sc 3.52
La (0.6901, 0.6901, 0.3802)  4 Sc 3.34, 4 La 3.52

N(E_F) ... 4.56 states/eV/cell
Energy of formation ... 366 meV per atom
Total DFT energy (no corrections) ... -11.99 eV/f.u.